Entry 1:
Density functional theory data (meta-GGA SCAN) for a PBEsol-optimized structure of CdRhPbN2.

Unit cell a=4.182 b=4.182 c=5.818 alpha=90.00 beta=90.00 gamma=90.00
Atoms (fractional coordinates):
Cd 0.000 0.000 0.000
Rh 0.500 0.500 0.000
Pb 0.000 0.000 0.500
N 0.000 0.500 0.500
N 0.500 0.000 0.500

Summary:
The density is 7.4 g cm⁻³. Its volume is 102 Å³/f.u. Its magnetic moment is 3.39 μB per formula unit. The density of states at the Fermi level is 1.90 states/eV/cell. For the raw formation energy, the calculation gives 205 kJ/mol of atoms.


Entry 2:
Density functional theory data (meta-GGA SCAN) for a PBEsol-optimized structure of CuP2H12N2O8F2.

Unit cell a=7.201 b=7.201 c=7.194 alpha=110.92 beta=110.92 gamma=42.50
Atoms (fractional coordinates):
Cu 0.000 0.000 0.000
P 0.365 0.365 0.782
P 0.635 0.635 0.218
H 0.123 0.812 0.649
H 0.188 0.877 0.351
H 0.198 0.512 0.167
H 0.248 0.248 0.182
H 0.368 0.368 0.387
H 0.488 0.802 0.833
H 0.512 0.198 0.167
H 0.632 0.632 0.613
H 0.752 0.752 0.818
H 0.802 0.488 0.833
H 0.812 0.123 0.649
H 0.877 0.188 0.351
N 0.331 0.331 0.228
N 0.669 0.669 0.772
O 0.009 0.009 0.713
O 0.135 0.619 0.907
O 0.381 0.865 0.093
O 0.427 0.427 0.643
O 0.573 0.573 0.357
O 0.619 0.135 0.907
O 0.865 0.381 0.093
O 0.991 0.991 0.287
F 0.240 0.240 0.634
F 0.760 0.760 0.366

Summary:
The density is 2.4 g cm⁻³. Its volume is 233 Å³/f.u. Its magnetic moment is 1.00 μB per formula unit. The density of states at the Fermi level is 0.04 states/eV/cell. The calculation puts the total DFT energy (no corrections) at -0.515 Ry/atom.


- Look up the magnetic moment of the second one.
  1.00 μB per formula unit